## Nb5H (GGA-PBE)

Data for Nb5H after structural relaxation.

Cell and atoms, written as POSCAR:
```
Nb5H
1.0
4.544 0.000 0.000
0.000 3.242 0.000
0.000 -1.621 6.681
H Nb
1 5
direct
0.000 0.000 0.000 H
0.500 0.831 0.662 Nb
0.000 0.641 0.282 Nb
0.500 0.500 0.000 Nb
0.000 0.359 0.718 Nb
0.500 0.169 0.338 Nb
```

- Calculated density: 7.86 g cm⁻³
- Space group: Cmmm


## CaPrZnRh (GGA-PBE)

Data for CaPrZnRh after structural relaxation.

Cell and atoms, written as POSCAR:
```
CaPrZnRh
1.0
-1.542 3.129 2.245
0.367 -2.318 3.483
5.983 0.440 -0.337
Ca Pr Zn Rh
1 1 1 1
direct
0.144 0.000 0.288 Ca
0.863 0.500 0.726 Pr
0.567 0.500 0.134 Zn
0.426 0.000 0.851 Rh
```

- Calculated density: 5.90 g cm⁻³
- Space group: Amm2
- Offset from the most stable computed form: 0 meV per atom
- Calculated formation energy: -1.89 eV/f.u.


## GePd2W (GGA-PBE)

Data for GePd2W after structural relaxation.

Cell and atoms, written as POSCAR:
```
GePd2W
1.0
-1.578 0.018 3.423
-3.073 -1.667 -1.408
1.401 -9.182 2.768
Ge Pd W
2 4 2
direct
0.500 0.500 0.000 Ge
0.250 0.750 0.500 Ge
0.622 0.125 0.250 Pd
0.128 0.625 0.250 Pd
0.375 0.378 0.750 Pd
0.875 0.872 0.750 Pd
0.000 0.000 0.000 W
0.750 0.250 0.500 W
```

- Calculated density: 11.77 g cm⁻³
- Space group: I-42d
- Calculated formation energy: 1.28 eV/f.u.


no.,final energy (eV/atom)
1,-8.58
2,-4.32
3,-6.67